DFT (PBE-GGA) results for PrTmAg2Te4 after structural relaxation.

Results
As for the formation energy without anion corrections: -716 meV per atom. The value obtained for the total energy is -66.49 eV per cell. The calculation puts the magnetization at 0.00 μB/cell.

Cell: 7.5298 8.1388 8.7687 Å, 90.00 90.00 90.00°
With the nearest neighbours (Å) after each atom.
Space group I222 (No. 23)
Symmetry-distinct sites (fractional):
Pr1 0.0000 0.0000 0.0000 (multiplicity 2)  4 Te 3.20
Tm1 0.0000 0.5000 0.0000 (multiplicity 2)  4 Te 2.94
Ag1 0.0000 0.1833 0.5000 (multiplicity 4)  2 Te 2.71, 1 Ag 2.98
Te1 0.2158 0.2737 0.8148 (multiplicity 8)  1 Ag 2.71, 1 Tm 2.94